P:
A relaxed structure of Zr2IrOs, computed with GGA-PBEsol.

Structure (CIF):
```
data_Zr2IrOs
_space_group_name_H-M_alt 'I -4 m 2'
_space_group_IT_number 119
_space_group_name_Hall 'I -4 -2'
_cell_length_a 3.877
_cell_length_b 3.877
_cell_length_c 9.204
_cell_angle_alpha 90.00
_cell_angle_beta 90.00
_cell_angle_gamma 90.00
loop_
_atom_site_label
_atom_site_type_symbol
_atom_site_fract_x
_atom_site_fract_y
_atom_site_fract_z
_atom_site_occupancy
Zr1 Zr 0.000 0.000 0.000 1
Zr2 Zr 0.000 0.500 0.250 1
Ir1 Ir 0.000 0.000 0.500 1
Os1 Os 0.000 0.500 0.750 1
```



Q:
A relaxed structure of Zr2IrOs, computed with GGA-PBEsol.

Structure (CIF):
```
data_Zr2IrOs
_space_group_name_H-M_alt 'C m m m'
_space_group_IT_number 65
_space_group_name_Hall '-C 2 2'
_cell_length_a 6.345
_cell_length_b 6.685
_cell_length_c 3.250
_cell_angle_alpha 90.00
_cell_angle_beta 90.00
_cell_angle_gamma 90.00
loop_
_atom_site_label
_atom_site_type_symbol
_atom_site_fract_x
_atom_site_fract_y
_atom_site_fract_z
_atom_site_occupancy
Zr1 Zr 0.250 0.250 0.000 1
Ir1 Ir 0.000 0.000 0.500 1
Os1 Os 0.000 0.500 0.500 1
```



R:
A relaxed structure of Zr2IrOs, computed with GGA-PBEsol.

Structure (CIF):
```
data_Zr2IrOs
_space_group_name_H-M_alt 'F m -3 m'
_space_group_IT_number 225
_space_group_name_Hall '-F 4 2 3'
_cell_length_a 6.509
_cell_length_b 6.509
_cell_length_c 6.509
_cell_angle_alpha 90.00
_cell_angle_beta 90.00
_cell_angle_gamma 90.00
loop_
_atom_site_label
_atom_site_type_symbol
_atom_site_fract_x
_atom_site_fract_y
_atom_site_fract_z
_atom_site_occupancy
Zr1 Zr 0.250 0.250 0.250 1
Ir1 Ir 0.000 0.000 0.000 1
Os1 Os 0.000 0.000 0.500 1
```



Q: Which of them is the least stable? A: P.